Entry 1:
Computed, not measured: a geometry-optimized Ba2CuP2O8 structure at the PBEsol level of DFT.

## Properties
The raw total energy is -7.235 eV per atom. The formation energy from raw total energies is -2449.5 meV per atom.

CIF file:
```
data_Ba2CuP2O8
_chemical_formula_sum 'Ba4 Cu2 P4 O16'
_space_group_name_H-M_alt 'C 1 2/m 1'
_space_group_IT_number 12
_space_group_name_Hall '-C 2y'
_cell_length_a 12.166
_cell_length_b 5.140
_cell_length_c 6.870
_cell_angle_alpha 90.00
_cell_angle_beta 105.67
_cell_angle_gamma 90.00
loop_
_atom_site_label
_atom_site_fract_x
_atom_site_fract_y
_atom_site_fract_z
_atom_site_occupancy
Ba1 0.174 0.000 0.215 1
Cu1 0.000 0.500 0.500 1
P1 0.133 0.000 0.702 1
O1 0.046 0.000 0.825 1
O2 0.122 0.245 0.561 1
O3 0.244 0.500 0.157 1
```

---

Entry 2:
Computed, not measured: a geometry-optimized YP structure at the PBEsol level of DFT.

## Properties
The raw total energy is -7.442 eV per atom. For the energy of formation, the calculation gives -2.27 eV/f.u.

CIF file:
```
data_YP
_chemical_formula_sum 'Y1 P1'
_space_group_name_H-M_alt 'P m -3 m'
_space_group_IT_number 221
_space_group_name_Hall '-P 4 2 3'
_cell_length_a 3.428
_cell_length_b 3.428
_cell_length_c 3.428
_cell_angle_alpha 90.00
_cell_angle_beta 90.00
_cell_angle_gamma 90.00
loop_
_atom_site_label
_atom_site_fract_x
_atom_site_fract_y
_atom_site_fract_z
_atom_site_occupancy
Y1 0.000 0.000 0.000 1
P1 0.500 0.500 0.500 1
```

---

Entry 3:
Computed, not measured: a geometry-optimized AlSi4HO10 structure at the PBEsol level of DFT.

## Properties
The raw total energy is -7.847 eV per atom.

CIF file:
```
data_AlSi4HO10
_chemical_formula_sum 'Al1 Si4 H1 O10'
_space_group_name_H-M_alt 'P 1'
_space_group_IT_number 1
_space_group_name_Hall 'P 1'
_cell_length_a 4.945
_cell_length_b 5.904
_cell_length_c 7.555
_cell_angle_alpha 112.80
_cell_angle_beta 93.59
_cell_angle_gamma 90.10
loop_
_atom_site_label
_atom_site_fract_x
_atom_site_fract_y
_atom_site_fract_z
_atom_site_occupancy
Al1 0.000 0.000 0.000 1
Si1 0.237 0.523 0.731 1
Si2 0.260 0.515 0.316 1
Si3 0.722 0.203 0.692 1
Si4 0.748 0.796 0.280 1
H1 0.520 0.840 0.010 1
O1 0.060 0.727 0.300 1
O2 0.141 0.244 0.194 1
O3 0.266 0.786 0.919 1
O4 0.318 0.565 0.542 1
O5 0.436 0.326 0.770 1
O6 0.547 0.562 0.237 1
O7 0.666 0.030 0.464 1
O8 0.724 0.870 0.087 1
O9 0.841 0.051 0.811 1
O10 0.924 0.431 0.709 1
```

---

Entry 4:
Computed, not measured: a geometry-optimized BeCrBr2 structure at the PBEsol level of DFT.

## Properties
As for the energy above the most stable polymorph in this dataset: 420 meV per atom. The raw total energy is -4.040 eV per atom. The formation energy from raw total energies is 455.6 meV per atom.

CIF file:
```
data_BeCrBr2
_chemical_formula_sum 'Be1 Cr1 Br2'
_space_group_name_H-M_alt 'P m m m'
_space_group_IT_number 47
_space_group_name_Hall '-P 2 2'
_cell_length_a 3.459
_cell_length_b 3.794
_cell_length_c 6.136
_cell_angle_alpha 90.00
_cell_angle_beta 90.00
_cell_angle_gamma 90.00
loop_
_atom_site_label
_atom_site_fract_x
_atom_site_fract_y
_atom_site_fract_z
_atom_site_occupancy
Be1 0.000 0.000 0.000 1
Cr1 0.500 0.000 0.500 1
Br1 0.000 0.500 0.500 1
Br2 0.500 0.500 0.000 1
```

---

Entry 5:
Computed, not measured: a geometry-optimized H3S structure at the PBEsol level of DFT.

## Properties
The raw total energy is -3.602 eV per atom.

CIF file:
```
data_H3S
_chemical_formula_sum 'H48 S16'
_space_group_name_H-M_alt 'C c c m'
_space_group_IT_number 66
_space_group_name_Hall '-C 2 2c'
_cell_length_a 11.326
_cell_length_b 12.454
_cell_length_c 5.252
_cell_angle_alpha 90.00
_cell_angle_beta 90.00
_cell_angle_gamma 90.00
loop_
_atom_site_label
_atom_site_fract_x
_atom_site_fract_y
_atom_site_fract_z
_atom_site_occupancy
H1 0.000 0.000 0.177 1
H2 0.034 0.500 0.250 1
H3 0.155 0.298 0.000 1
H4 0.170 0.155 0.250 1
H5 0.174 0.326 0.500 1
S1 0.097 0.203 0.000 1
S2 0.238 0.100 0.500 1
```

---

Entry 6:
Computed, not measured: a geometry-optimized YSi2Br structure at the PBEsol level of DFT.

## Properties
As for the energy above the most stable polymorph in this dataset: 363 meV per atom. The raw total energy is -5.134 eV per atom. The formation energy from raw total energies is -87.3 meV per atom.

CIF file:
```
data_YSi2Br
_chemical_formula_sum 'Y2 Si4 Br2'
_space_group_name_H-M_alt 'C m m m'
_space_group_IT_number 65
_space_group_name_Hall '-C 2 2'
_cell_length_a 5.769
_cell_length_b 8.703
_cell_length_c 3.218
_cell_angle_alpha 90.00
_cell_angle_beta 90.00
_cell_angle_gamma 90.00
loop_
_atom_site_label
_atom_site_fract_x
_atom_site_fract_y
_atom_site_fract_z
_atom_site_occupancy
Y1 0.000 0.000 0.000 1
Si1 0.250 0.250 0.500 1
Br1 0.000 0.500 0.000 1
```

---

Entry 7:
Computed, not measured: a geometry-optimized BaNa3Pb structure at the PBEsol level of DFT.

## Properties
The raw total energy is -1.241 eV per atom. For the energy of formation, the calculation gives 4.14 eV/f.u.

CIF file:
```
data_BaNa3Pb
_chemical_formula_sum 'Ba1 Na3 Pb1'
_space_group_name_H-M_alt 'P m -3 m'
_space_group_IT_number 221
_space_group_name_Hall '-P 4 2 3'
_cell_length_a 6.191
_cell_length_b 6.191
_cell_length_c 6.191
_cell_angle_alpha 90.00
_cell_angle_beta 90.00
_cell_angle_gamma 90.00
loop_
_atom_site_label
_atom_site_fract_x
_atom_site_fract_y
_atom_site_fract_z
_atom_site_occupancy
Ba1 0.000 0.000 0.000 1
Na1 0.000 0.000 0.500 1
Pb1 0.500 0.500 0.500 1
```

---

Entry 8:
Computed, not measured: a geometry-optimized Ba2YB2ClO6 structure at the PBEsol level of DFT.

## Properties
The raw total energy is -7.832 eV per atom. The formation energy from raw total energies is -2944.4 meV per atom.

CIF file:
```
data_Ba2YB2ClO6
_chemical_formula_sum 'Ba4 Y2 B4 Cl2 O12'
_space_group_name_H-M_alt 'P 1 21/m 1'
_space_group_IT_number 11
_space_group_name_Hall '-P 2yb'
_cell_length_a 6.399
_cell_length_b 5.289
_cell_length_c 11.281
_cell_angle_alpha 90.00
_cell_angle_beta 96.46
_cell_angle_gamma 90.00
loop_
_atom_site_label
_atom_site_fract_x
_atom_site_fract_y
_atom_site_fract_z
_atom_site_occupancy
Ba1 0.093 0.250 0.206 1
Ba2 0.341 0.250 0.574 1
Y1 0.348 0.250 0.913 1
B1 0.210 0.750 0.073 1
B2 0.377 0.750 0.726 1
Cl1 0.150 0.750 0.415 1
O1 0.006 0.750 0.096 1
O2 0.291 0.526 0.763 1
O3 0.325 0.529 0.065 1
O4 0.474 0.250 0.354 1
```

---

Entry 9:
Computed, not measured: a geometry-optimized Mg2CrB2Ir5 structure at the PBEsol level of DFT.

## Properties
The raw total energy is -8.077 eV per atom. For the energy of formation, the calculation gives -3.94 eV/f.u.

CIF file:
```
data_Mg2CrB2Ir5
_chemical_formula_sum 'Mg4 Cr2 B4 Ir10'
_space_group_name_H-M_alt 'P 4/m b m'
_space_group_IT_number 127
_space_group_name_Hall '-P 4 2ab'
_cell_length_a 9.393
_cell_length_b 9.393
_cell_length_c 2.886
_cell_angle_alpha 90.00
_cell_angle_beta 90.00
_cell_angle_gamma 90.00
loop_
_atom_site_label
_atom_site_fract_x
_atom_site_fract_y
_atom_site_fract_z
_atom_site_occupancy
Mg1 0.177 0.323 0.000 1
Cr1 0.000 0.000 0.000 1
B1 0.125 0.625 0.000 1
Ir1 0.000 0.500 0.500 1
Ir2 0.071 0.786 0.500 1
```

---

Entry 10:
Computed, not measured: a geometry-optimized MnNbSe2 structure at the PBEsol level of DFT.

## Properties
The raw total energy is -7.318 eV per atom. The formation energy from raw total energies is -247.5 meV per atom.

CIF file:
```
data_MnNbSe2
_chemical_formula_sum 'Mn3 Nb3 Se6'
_space_group_name_H-M_alt 'R -3 m'
_space_group_IT_number 166
_space_group_name_Hall '-R 3 2"'
_cell_length_a 3.3215
_cell_length_b 3.3215
_cell_length_c 24.9242
_cell_angle_alpha 90.00
_cell_angle_beta 90.00
_cell_angle_gamma 120.00
loop_
_atom_site_label
_atom_site_fract_x
_atom_site_fract_y
_atom_site_fract_z
_atom_site_occupancy
Mn1 0.0000 0.0000 0.0000 1
Nb1 0.0000 0.0000 0.5000 1
Se1 0.0000 0.0000 0.0966 1
```

---

Entry 11:
Computed, not measured: a geometry-optimized ZrSbTeN2 structure at the PBEsol level of DFT.

## Properties
The raw total energy is -5.862 eV per atom. The formation energy from raw total energies is 982.9 meV per atom.

CIF file:
```
data_ZrSbTeN2
_chemical_formula_sum 'Zr1 Sb1 Te1 N2'
_space_group_name_H-M_alt 'P 4/m m m'
_space_group_IT_number 123
_space_group_name_Hall '-P 4 2'
_cell_length_a 4.089
_cell_length_b 4.089
_cell_length_c 5.638
_cell_angle_alpha 90.00
_cell_angle_beta 90.00
_cell_angle_gamma 90.00
loop_
_atom_site_label
_atom_site_fract_x
_atom_site_fract_y
_atom_site_fract_z
_atom_site_occupancy
Zr1 0.000 0.000 0.000 1
Sb1 0.500 0.500 0.500 1
Te1 0.500 0.500 0.000 1
N1 0.000 0.500 0.500 1
```

---

Entry 12:
Computed, not measured: a geometry-optimized RbB3Te2O9 structure at the PBEsol level of DFT.

## Properties
The raw total energy is -6.872 eV per atom. The formation energy from raw total energies is -1780.9 meV per atom.

CIF file:
```
data_RbB3Te2O9
_chemical_formula_sum 'Rb2 B6 Te4 O18'
_space_group_name_H-M_alt 'P 1 2/c 1'
_space_group_IT_number 13
_space_group_name_Hall '-P 2yc'
_cell_length_a 6.426
_cell_length_b 5.327
_cell_length_c 14.303
_cell_angle_alpha 90.00
_cell_angle_beta 116.14
_cell_angle_gamma 90.00
loop_
_atom_site_label
_atom_site_fract_x
_atom_site_fract_y
_atom_site_fract_z
_atom_site_occupancy
Rb1 0.000 0.115 0.250 1
B1 0.180 0.337 0.930 1
B2 0.500 0.393 0.750 1
Te1 0.318 0.194 0.568 1
O1 0.011 0.201 0.583 1
O2 0.191 0.403 0.442 1
O3 0.350 0.201 0.920 1
O4 0.403 0.491 0.153 1
O5 0.500 0.134 0.750 1
```

---

Entry 13:
Computed, not measured: a geometry-optimized AuI2 structure at the PBEsol level of DFT.

## Properties
The raw total energy is -2.365 eV per atom. The formation energy from raw total energies is 121.0 meV per atom.

CIF file:
```
data_AuI2
_chemical_formula_sum 'Au2 I4'
_space_group_name_H-M_alt 'P 42/m m c'
_space_group_IT_number 131
_space_group_name_Hall '-P 4c 2'
_cell_length_a 4.071
_cell_length_b 4.071
_cell_length_c 14.745
_cell_angle_alpha 90.00
_cell_angle_beta 90.00
_cell_angle_gamma 90.00
loop_
_atom_site_label
_atom_site_fract_x
_atom_site_fract_y
_atom_site_fract_z
_atom_site_occupancy
Au1 0.000 0.000 0.250 1
I1 0.000 0.500 0.132 1
```

---

Entry 14:
Computed, not measured: a geometry-optimized HgOs2Se structure at the PBEsol level of DFT.

## Properties
The raw total energy is -6.094 eV per atom. The formation energy from raw total energies is 1118.2 meV per atom.

CIF file:
```
data_HgOs2Se
_chemical_formula_sum 'Hg2 Os4 Se2'
_space_group_name_H-M_alt 'I -4 m 2'
_space_group_IT_number 119
_space_group_name_Hall 'I -4 -2'
_cell_length_a 4.160
_cell_length_b 4.160
_cell_length_c 7.503
_cell_angle_alpha 90.00
_cell_angle_beta 90.00
_cell_angle_gamma 90.00
loop_
_atom_site_label
_atom_site_fract_x
_atom_site_fract_y
_atom_site_fract_z
_atom_site_occupancy
Hg1 0.000 0.000 0.000 1
Os1 0.000 0.000 0.500 1
Os2 0.000 0.500 0.250 1
Se1 0.000 0.500 0.750 1
```

---

Entry 15:
Computed, not measured: a geometry-optimized Li2Mn3CuO8 structure at the PBEsol level of DFT.

## Properties
As for the energy above the most stable polymorph in this dataset: 0 meV per atom. The raw total energy is -7.343 eV per atom. The formation energy from raw total energies is -1661.3 meV per atom.

CIF file:
```
data_Li2Mn3CuO8
_chemical_formula_sum 'Li8 Mn12 Cu4 O32'
_space_group_name_H-M_alt 'P 21 3'
_space_group_IT_number 198
_space_group_name_Hall 'P 2ac 2ab 3'
_cell_length_a 8.103
_cell_length_b 8.103
_cell_length_c 8.103
_cell_angle_alpha 90.00
_cell_angle_beta 90.00
_cell_angle_gamma 90.00
loop_
_atom_site_label
_atom_site_fract_x
_atom_site_fract_y
_atom_site_fract_z
_atom_site_occupancy
Li1 0.124 0.124 0.124 1
Li2 0.247 0.753 0.253 1
Mn1 0.122 0.874 0.877 1
Cu1 0.007 0.993 0.493 1
O1 0.100 0.871 0.106 1
O2 0.116 0.384 0.616 1
O3 0.121 0.850 0.642 1
O4 0.134 0.634 0.866 1
```

---

Entry 16:
Computed, not measured: a geometry-optimized YBrF3 structure at the PBEsol level of DFT.

## Properties
The raw total energy is -3.819 eV per atom. The formation energy from raw total energies is -923.7 meV per atom.

CIF file:
```
data_YBrF3
_chemical_formula_sum 'Y1 Br1 F3'
_space_group_name_H-M_alt 'P m -3 m'
_space_group_IT_number 221
_space_group_name_Hall '-P 4 2 3'
_cell_length_a 4.561
_cell_length_b 4.561
_cell_length_c 4.561
_cell_angle_alpha 90.00
_cell_angle_beta 90.00
_cell_angle_gamma 90.00
loop_
_atom_site_label
_atom_site_fract_x
_atom_site_fract_y
_atom_site_fract_z
_atom_site_occupancy
Y1 0.000 0.000 0.000 1
Br1 0.500 0.500 0.500 1
F1 0.000 0.500 0.500 1
```

---

Entry 17:
Computed, not measured: a geometry-optimized MgAs2S structure at the PBEsol level of DFT.

## Properties
The raw total energy is -3.893 eV per atom. The formation energy from raw total energies is 185.5 meV per atom.

CIF file:
```
data_MgAs2S
_chemical_formula_sum 'Mg4 As8 S4'
_space_group_name_H-M_alt 'I -4 2 d'
_space_group_IT_number 122
_space_group_name_Hall 'I -4 2bw'
_cell_length_a 5.507
_cell_length_b 5.507
_cell_length_c 13.164
_cell_angle_alpha 90.00
_cell_angle_beta 90.00
_cell_angle_gamma 90.00
loop_
_atom_site_label
_atom_site_fract_x
_atom_site_fract_y
_atom_site_fract_z
_atom_site_occupancy
Mg1 0.000 0.000 0.000 1
As1 0.218 0.250 0.625 1
S1 0.000 0.000 0.500 1
```

---

Entry 18:
Computed, not measured: a geometry-optimized LuGaNi2 structure at the PBEsol level of DFT.

## Properties
The raw total energy is -5.666 eV per atom. For the energy of formation, the calculation gives -2.14 eV/f.u.

CIF file:
```
data_LuGaNi2
_chemical_formula_sum 'Lu4 Ga4 Ni8'
_space_group_name_H-M_alt 'F m -3 m'
_space_group_IT_number 225
_space_group_name_Hall '-F 4 2 3'
_cell_length_a 6.093
_cell_length_b 6.093
_cell_length_c 6.093
_cell_angle_alpha 90.00
_cell_angle_beta 90.00
_cell_angle_gamma 90.00
loop_
_atom_site_label
_atom_site_fract_x
_atom_site_fract_y
_atom_site_fract_z
_atom_site_occupancy
Lu1 0.000 0.000 0.000 1
Ga1 0.000 0.000 0.500 1
Ni1 0.250 0.250 0.250 1
```

---

Entry 19:
Computed, not measured: a geometry-optimized Sc2AgRh structure at the PBEsol level of DFT.

## Properties
The raw total energy is -6.758 eV per atom. For the energy of formation, the calculation gives -2.37 eV/f.u.

CIF file:
```
data_Sc2AgRh
_chemical_formula_sum 'Sc2 Ag1 Rh1'
_space_group_name_H-M_alt 'P 4/m m m'
_space_group_IT_number 123
_space_group_name_Hall '-P 4 2'
_cell_length_a 4.643
_cell_length_b 4.643
_cell_length_c 3.260
_cell_angle_alpha 90.00
_cell_angle_beta 90.00
_cell_angle_gamma 90.00
loop_
_atom_site_label
_atom_site_fract_x
_atom_site_fract_y
_atom_site_fract_z
_atom_site_occupancy
Sc1 0.000 0.500 0.000 1
Ag1 0.000 0.000 0.500 1
Rh1 0.500 0.500 0.500 1
```

---

Entry 20:
Computed, not measured: a geometry-optimized Ca3SbPd structure at the PBEsol level of DFT.

## Properties
The raw total energy is -3.901 eV per atom. The formation energy from raw total energies is -518.3 meV per atom.

CIF file:
```
data_Ca3SbPd
_chemical_formula_sum 'Ca3 Sb1 Pd1'
_space_group_name_H-M_alt 'P m -3 m'
_space_group_IT_number 221
_space_group_name_Hall '-P 4 2 3'
_cell_length_a 5.349
_cell_length_b 5.349
_cell_length_c 5.349
_cell_angle_alpha 90.00
_cell_angle_beta 90.00
_cell_angle_gamma 90.00
loop_
_atom_site_label
_atom_site_fract_x
_atom_site_fract_y
_atom_site_fract_z
_atom_site_occupancy
Ca1 0.000 0.000 0.500 1
Sb1 0.500 0.500 0.500 1
Pd1 0.000 0.000 0.000 1
```